No. 1
# Ca9Nb2Ga10Si6O42

A geometry-optimized Ca9Nb2Ga10Si6O42 structure (PBEsol, the Alexandria database).

abc: 13.9133 13.9133 15.0577
angles: 90.00 90.00 120.00
Closest atoms and distances in Å follow each position.
Space group R3 (No. 146, hexagonal axes)
Asymmetric unit:
Ca 0.1728 0.7843 0.0000  5 O 2.26-2.44
Ca 0.1829 0.8026 0.6757  5 O 2.32-2.59
Ca 0.1908 0.8046 0.3383  6 O 2.35-2.59
Nb 0.0000 0.0000 0.0045  6 O 1.98-2.02
Nb 0.0000 0.0000 0.3353  6 O 1.97-2.04
Ga 0.0000 0.0000 0.6607  6 O 1.97-2.00
Ga 0.0716 0.1584 0.5085  4 O 1.86-1.95
Ga 0.0775 0.9120 0.8394  4 O 1.83-1.88
Ga 0.0839 0.1716 0.1685  4 O 1.82-1.87
Si 0.0001 0.3226 0.8558  4 O 1.63-1.65
Si 0.0018 0.6741 0.4866  4 O 1.61-1.66
O 0.0048 0.3063 0.7488  1 Si 1.63
O 0.0059 0.6688 0.2605  1 Si 1.61
O 0.0401 0.7847 0.7734  1 Si 1.66
O 0.0482 0.7864 0.1038  1 Si 1.66
O 0.0486 0.7958 0.4388  1 Si 1.64
O 0.0541 0.4596 0.2309  1 Si 1.65
O 0.0546 0.4515 0.8912  1 Si 1.65
O 0.0636 0.4661 0.5722  1 Si 1.65
O 0.1140 0.0121 0.7479  2 Ga 1.84-2.00
O 0.1235 0.1020 0.2508  1 Ga 1.82, 1 Nb 2.04
O 0.1252 0.0189 0.0798  1 Ga 1.83, 1 Nb 1.98
O 0.1249 0.0854 0.5793  2 Ga 1.86-1.97
O 0.1259 0.0158 0.4059  1 Ga 1.87, 1 Nb 1.97
O 0.1274 0.0958 0.9230  1 Ga 1.83, 1 Nb 2.02

Output
Its spin magnetization is 7.0 μB/cell. For the formation energy (no corrections), the calculation gives -2536 meV/atom. As for the electronic total energy: -1512.5 eV/cell.

No. 2
# TiTc3O

A geometry-optimized TiTc3O structure (PBEsol, the Alexandria database).

abc: 4.4404 4.4404 4.4404
angles: 90.00 90.00 90.00
Closest atoms and distances in Å follow each position.
Space group Pm-3m (No. 221)
Asymmetric unit:
Ti 0.0000 0.0000 0.0000  6 Tc 2.22
Tc 0.0000 0.0000 0.5000  2 Ti 2.22
O 0.5000 0.5000 0.5000  12 Tc 3.14

Output
Its spin magnetization is 2.5 μB/cell. For the formation energy (no corrections), the calculation gives 2258 meV/atom. As for the electronic total energy: -36.1 eV/cell.

No. 3
# Na3Sr2Ti3Si4O18

A geometry-optimized Na3Sr2Ti3Si4O18 structure (PBEsol, the Alexandria database).

abc: 19.1776 7.1058 5.4085
angles: 90.00 96.77 90.00
Closest atoms and distances in Å follow each position.
Space group C2/m (No. 12)
Asymmetric unit:
Na 0.0000 0.0000 0.0000  6 O 2.26-2.51
Na 0.0000 0.2593 0.5000  6 O 2.23-2.44
Sr 0.2125 0.5000 0.7375  11 O 2.67-2.88
Ti 0.0000 0.5000 0.0000  6 O 1.88-2.02
Ti 0.1522 0.0000 0.7074  1 O 1.68
Si 0.1443 0.2837 0.2026  4 O 1.61-1.68
O 0.0598 0.2936 0.1726  1 Si 1.61
O 0.0634 0.5000 0.7592  1 Ti 1.88
O 0.0642 0.0000 0.6754  1 Ti 1.68
O 0.1774 0.1890 0.4661  1 Si 1.64
O 0.1789 0.1876 0.9718  1 Si 1.63
O 0.1797 0.5000 0.2215  2 Si 1.68

Output
Its spin magnetization is 2.0 μB/cell. For the formation energy (no corrections), the calculation gives -2744 meV/atom. As for the electronic total energy: -465.3 eV/cell.

No. 4
# CdIr2Ru

A geometry-optimized CdIr2Ru structure (PBEsol, the Alexandria database).

abc: 2.7449 4.6334 9.6880
angles: 90.00 90.00 90.00
Closest atoms and distances in Å follow each position.
Space group Imm2 (No. 44)
Asymmetric unit:
Cd 0.0000 0.0000 0.0000  6 Ir 2.69-2.96, 2 Cd 2.74, 2 Ru 2.98
Ir 0.0000 0.0000 0.5023  2 Ru 2.57, 4 Ir 2.63-2.74, 4 Cd 2.69
Ir 0.0000 0.5000 0.7712  4 Ir 2.63-2.74, 4 Ru 2.73
Ru 0.0000 0.5000 0.2264  6 Ir 2.57-2.73, 2 Ru 2.74

Output
Its spin magnetization is 0.0 μB/cell. As for the electronic total energy: -59.0 eV/cell. The value obtained for the formation energy is 0.38 eV/atom.

No. 5
# TlCo2Ru

A geometry-optimized TlCo2Ru structure (PBEsol, the Alexandria database).

abc: 2.7558 2.7558 7.1497
angles: 90.00 90.00 90.00
Closest atoms and distances in Å follow each position.
Space group P4/mmm (No. 123)
Asymmetric unit:
Tl 0.0000 0.0000 0.0000  4 Tl 2.76, 8 Co 2.79
Co 0.5000 0.5000 0.2789  4 Ru 2.51, 4 Co 2.76, 4 Tl 2.79
Ru 0.0000 0.0000 0.5000  8 Co 2.51, 4 Ru 2.76

Output
Its spin magnetization is 0.9 μB/cell. As for the electronic total energy: -26.4 eV/cell. The value obtained for the formation energy is 0.46 eV/atom.

No. 6
# CeAsO4F

A geometry-optimized CeAsO4F structure (PBEsol, the Alexandria database).

abc: 8.6940 7.1182 6.6377
angles: 90.00 90.00 90.00
Closest atoms and distances in Å follow each position.
Space group Pnma (No. 62)
Asymmetric unit:
Ce 0.0432 0.2500 0.1479  4 O 2.21-2.27, 2 F 2.23-2.36
As 0.1033 0.7500 0.3234  4 O 1.69-1.72
O 0.0223 0.2500 0.4819  1 As 1.69
O 0.0713 0.5663 0.1602  1 As 1.72
O 0.2108 0.2500 0.8978  1 As 1.69
F 0.2095 0.7500 0.7946  2 Ce 2.23-2.36

Output
Its spin magnetization is 0.0 μB/cell. For the formation energy (no corrections), the calculation gives -2369 meV/atom. As for the electronic total energy: -204.8 eV/cell.

No. 7
# ZrTi2H4

A geometry-optimized ZrTi2H4 structure (PBEsol, the Alexandria database).

abc: 8.0340 8.0340 8.0340
angles: 90.00 90.00 90.00
Closest atoms and distances in Å follow each position.
Space group Fd-3m (No. 227, origin choice 2)
Asymmetric unit:
Zr 0.1250 0.1250 0.1250  4 H 2.00
Ti 0.0000 0.0000 0.5000  6 H 1.87
H 0.0188 0.0188 0.7312  3 Ti 1.87, 1 Zr 2.00

Output
Its spin magnetization is 0.0 μB/cell. As for the electronic total energy: -341.5 eV/cell.

No. 8
# Rb2ScInCl6

A geometry-optimized Rb2ScInCl6 structure (PBEsol, the Alexandria database).

abc: 10.8068 10.8068 10.8068
angles: 90.00 90.00 90.00
Closest atoms and distances in Å follow each position.
Space group Fm-3m (No. 225)
Asymmetric unit:
Rb 0.2500 0.2500 0.2500  12 Cl 3.83
Sc 0.0000 0.0000 0.0000  6 Cl 2.47
In 0.0000 0.0000 0.5000  6 Cl 2.94
Cl 0.0000 0.0000 0.2283  1 Sc 2.47

Output
Its spin magnetization is 0.0 μB/cell. For the formation energy (no corrections), the calculation gives -1779 meV/atom. As for the electronic total energy: -165.9 eV/cell.

No. 9
# TbAl

A geometry-optimized TbAl structure (PBEsol, the Alexandria database).

abc: 5.7865 11.3578 5.5540
angles: 90.00 90.00 90.00
Closest atoms and distances in Å follow each position.
Space group Pbcm (No. 57)
Asymmetric unit:
Tb 0.0962 0.1678 0.2500  6 Al 3.04-3.25, 3 Tb 3.25-3.35
Tb 0.3385 0.0138 0.7500  8 Al 3.05-3.35, 3 Tb 3.25-3.36
Al 0.1613 0.5979 0.7500  2 Al 2.71
Al 0.4320 0.7500 0.0000  4 Al 2.71-2.78

Output
Its spin magnetization is 0.0 μB/cell. As for the electronic total energy: -79.5 eV/cell. The value obtained for the formation energy is -0.42 eV/atom.

No. 10
# CdHg2Pb

A geometry-optimized CdHg2Pb structure (PBEsol, the Alexandria database).

abc: 3.2699 5.3441 5.6739
angles: 90.00 90.16 90.00
Closest atoms and distances in Å follow each position.
Space group Pm (No. 6)
Asymmetric unit:
Cd 0.0000 0.0000 0.0000  4 Hg 2.83-3.01
Hg 0.0100 0.5000 0.2434  2 Cd 3.01, 4 Hg 3.05-3.27, 4 Pb 3.25-3.30
Hg 0.9779 0.0000 0.5021  2 Cd 2.83-2.85, 2 Hg 3.05
Pb 0.4990 0.5000 0.7446  8 Hg 3.25-3.45, 2 Pb 3.27, 4 Cd 3.45

Output
Its spin magnetization is 0.0 μB/cell. As for the electronic total energy: -6.2 eV/cell. The value obtained for the formation energy is 0.03 eV/atom.

No. 11
# Ga2AsP

A geometry-optimized Ga2AsP structure (PBEsol, the Alexandria database).

abc: 3.9194 3.9194 19.2160
angles: 90.00 90.00 120.00
Closest atoms and distances in Å follow each position.
Space group R3m (No. 160, hexagonal axes)
Asymmetric unit:
Ga 0.0000 0.0000 0.0000  3 P 2.38, 1 As 2.45
Ga 0.0000 0.0000 0.4948  1 P 2.35, 3 As 2.42
As 0.0000 0.0000 0.8727  4 Ga 2.42-2.45
P 0.0000 0.0000 0.3723  4 Ga 2.35-2.38

Output
Its spin magnetization is 0.0 μB/cell. As for the electronic total energy: -56.9 eV/cell. The value obtained for the formation energy is -0.35 eV/atom.

No. 12
# TmInRh2

A geometry-optimized TmInRh2 structure (PBEsol, the Alexandria database).

abc: 6.4848 6.4848 6.4848
angles: 90.00 90.00 90.00
Closest atoms and distances in Å follow each position.
Space group Fm-3m (No. 225)
Asymmetric unit:
Tm 0.0000 0.0000 0.0000  8 Rh 2.81
In 0.0000 0.0000 0.5000  8 Rh 2.81
Rh 0.2500 0.2500 0.2500  4 In 2.81, 4 Tm 2.81

Output
Its spin magnetization is 0.0 μB/cell. As for the electronic total energy: -109.4 eV/cell. The value obtained for the formation energy is -0.80 eV/atom.

Which of these has the highest electronic total energy? CdHg2Pb

What is the electronic total energy in the tenth record? -6.2 eV/cell